Record 1
# Li2YSi, relaxed, DFT GGA-PBE
data_Li2YSi
_space_group_name_H-M_alt 'P 1'
_space_group_IT_number 1
_cell_length_a 4.541
_cell_length_b 4.541
_cell_length_c 4.541
_cell_angle_alpha 60.00
_cell_angle_beta 60.00
_cell_angle_gamma 60.00
loop_
_space_group_symop_operation_xyz
'x,y,z'
loop_
_atom_site_label
_atom_site_type_symbol
_atom_site_fract_x
_atom_site_fract_y
_atom_site_fract_z
_atom_site_occupancy
Si1 Si 0.000 0.000 0.000 1
Li1 Li 0.250 0.250 0.250 1
Li2 Li 0.750 0.750 0.750 1
Y1 Y 0.500 0.500 0.500 1
# - formation energy from raw total energies (kJ per mole of atoms) = -27.2
# - Fermi-level density of states (states/eV/atom) = 0.32
# - crystal system = cubic
# - E (eV/atom) = -4.210

---

Record 2
# LiYSi, relaxed, DFT GGA-PBE
data_LiYSi
_space_group_name_H-M_alt 'P 1'
_space_group_IT_number 1
_cell_length_a 5.586
_cell_length_b 5.586
_cell_length_c 5.120
_cell_angle_alpha 90.00
_cell_angle_beta 90.00
_cell_angle_gamma 90.00
loop_
_space_group_symop_operation_xyz
'x,y,z'
loop_
_atom_site_label
_atom_site_type_symbol
_atom_site_fract_x
_atom_site_fract_y
_atom_site_fract_z
_atom_site_occupancy
Y1 Y 0.000 0.000 0.500 1
Y2 Y 0.500 0.500 0.500 1
Li1 Li 0.000 0.500 0.106 1
Li2 Li 0.500 0.000 0.894 1
Si1 Si 0.500 0.000 0.376 1
Si2 Si 0.000 0.500 0.624 1
# - formation energy from raw total energies (kJ per mole of atoms) = -21.6
# - energy above the lowest structure with this stoichiometry (meV/atom) = 389
# - Fermi-level density of states (states/eV/atom) = 0.02
# - crystal system = tetragonal
# - E (eV/atom) = -4.824

---

Record 3
# LiYSi, relaxed, DFT GGA-PBE
data_LiYSi
_space_group_name_H-M_alt 'P 1'
_space_group_IT_number 1
_cell_length_a 7.523
_cell_length_b 7.523
_cell_length_c 7.523
_cell_angle_alpha 33.92
_cell_angle_beta 33.92
_cell_angle_gamma 33.92
loop_
_space_group_symop_operation_xyz
'x,y,z'
loop_
_atom_site_label
_atom_site_type_symbol
_atom_site_fract_x
_atom_site_fract_y
_atom_site_fract_z
_atom_site_occupancy
Li1 Li 0.146 0.146 0.146 1
Li2 Li 0.588 0.588 0.588 1
Si1 Si 0.442 0.442 0.442 1
Si2 Si 0.270 0.270 0.270 1
Y1 Y 0.019 0.019 0.019 1
Y2 Y 0.850 0.850 0.850 1
# - formation energy from raw total energies (kJ per mole of atoms) = -43.2
# - energy above the lowest structure with this stoichiometry (meV/atom) = 165
# - Fermi-level density of states (states/eV/atom) = 0.19
# - crystal system = trigonal
# - E (eV/atom) = -5.048

---

Record 4
# LiY2Si2, relaxed, DFT GGA-PBE
data_LiY2Si2
_space_group_name_H-M_alt 'P 1'
_space_group_IT_number 1
_cell_length_a 4.254
_cell_length_b 5.771
_cell_length_c 9.277
_cell_angle_alpha 88.13
_cell_angle_beta 76.75
_cell_angle_gamma 68.37
loop_
_space_group_symop_operation_xyz
'x,y,z'
loop_
_atom_site_label
_atom_site_type_symbol
_atom_site_fract_x
_atom_site_fract_y
_atom_site_fract_z
_atom_site_occupancy
Si1 Si 0.628 0.856 0.889 1
Si2 Si 0.943 0.686 0.428 1
Si3 Si 0.057 0.314 0.572 1
Si4 Si 0.372 0.144 0.111 1
Y1 Y 0.319 0.688 0.673 1
Y2 Y 0.089 0.721 0.100 1
Y3 Y 0.681 0.312 0.327 1
Y4 Y 0.911 0.279 0.900 1
Li1 Li 0.641 0.085 0.633 1
Li2 Li 0.359 0.915 0.367 1
# - formation energy from raw total energies (kJ per mole of atoms) = -63.1
# - energy above the lowest structure with this stoichiometry (meV/atom) = 9
# - Fermi-level density of states (states/eV/atom) = 0.57
# - crystal system = monoclinic
# - E (eV/atom) = -5.791

---

Record 5
# LiYSi, relaxed, DFT GGA-PBE
data_LiYSi
_space_group_name_H-M_alt 'P 1'
_space_group_IT_number 1
_cell_length_a 5.658
_cell_length_b 4.549
_cell_length_c 5.498
_cell_angle_alpha 113.93
_cell_angle_beta 71.92
_cell_angle_gamma 93.33
loop_
_space_group_symop_operation_xyz
'x,y,z'
loop_
_atom_site_label
_atom_site_type_symbol
_atom_site_fract_x
_atom_site_fract_y
_atom_site_fract_z
_atom_site_occupancy
Si1 Si 0.829 0.142 0.720 1
Si2 Si 0.171 0.858 0.280 1
Li1 Li 0.779 0.534 0.504 1
Li2 Li 0.221 0.466 0.496 1
Y1 Y 0.286 0.177 0.873 1
Y2 Y 0.714 0.823 0.127 1
# - formation energy from raw total energies (kJ per mole of atoms) = -43.5
# - energy above the lowest structure with this stoichiometry (meV/atom) = 162
# - Fermi-level density of states (states/eV/atom) = 0.44
# - crystal system = triclinic
# - E (eV/atom) = -5.051

---

Record 6
# LiYSi, relaxed, DFT GGA-PBE
data_LiYSi
_space_group_name_H-M_alt 'P 1'
_space_group_IT_number 1
_cell_length_a 4.704
_cell_length_b 4.704
_cell_length_c 4.704
_cell_angle_alpha 60.00
_cell_angle_beta 60.00
_cell_angle_gamma 60.00
loop_
_space_group_symop_operation_xyz
'x,y,z'
loop_
_atom_site_label
_atom_site_type_symbol
_atom_site_fract_x
_atom_site_fract_y
_atom_site_fract_z
_atom_site_occupancy
Li1 Li 0.250 0.250 0.250 1
Si1 Si 0.750 0.750 0.750 1
Y1 Y 0.000 0.000 0.000 1
# - formation energy from raw total energies (kJ per mole of atoms) = 5.6
# - energy above the lowest structure with this stoichiometry (meV/atom) = 671
# - Fermi-level density of states (states/eV/atom) = 0.00
# - crystal system = cubic
# - E (eV/atom) = -4.542

---

Record 7
# Li4YSi, relaxed, DFT GGA-PBE
data_Li4YSi
_space_group_name_H-M_alt 'P 1'
_space_group_IT_number 1
_cell_length_a 5.282
_cell_length_b 5.282
_cell_length_c 5.282
_cell_angle_alpha 60.00
_cell_angle_beta 60.00
_cell_angle_gamma 60.00
loop_
_space_group_symop_operation_xyz
'x,y,z'
loop_
_atom_site_label
_atom_site_type_symbol
_atom_site_fract_x
_atom_site_fract_y
_atom_site_fract_z
_atom_site_occupancy
Li1 Li 0.377 0.377 0.377 1
Li2 Li 0.377 0.870 0.377 1
Li3 Li 0.870 0.377 0.377 1
Li4 Li 0.377 0.377 0.870 1
Y1 Y 0.000 0.000 0.000 1
Si1 Si 0.750 0.750 0.750 1
# - formation energy from raw total energies (kJ per mole of atoms) = 1.7
# - Fermi-level density of states (states/eV/atom) = 0.68
# - crystal system = cubic
# - E (eV/atom) = -3.240

---

Record 8
# LiYSi, relaxed, DFT GGA-PBE
data_LiYSi
_space_group_name_H-M_alt 'P 1'
_space_group_IT_number 1
_cell_length_a 4.256
_cell_length_b 7.047
_cell_length_c 12.010
_cell_angle_alpha 89.73
_cell_angle_beta 90.00
_cell_angle_gamma 90.00
loop_
_space_group_symop_operation_xyz
'x,y,z'
loop_
_atom_site_label
_atom_site_type_symbol
_atom_site_fract_x
_atom_site_fract_y
_atom_site_fract_z
_atom_site_occupancy
Li1 Li 0.750 0.998 0.910 1
Li2 Li 0.750 0.653 0.797 1
Li3 Li 0.250 0.002 0.090 1
Li4 Li 0.750 0.153 0.542 1
Li5 Li 0.250 0.847 0.458 1
Li6 Li 0.250 0.347 0.203 1
Si1 Si 0.250 0.732 0.248 1
Si2 Si 0.750 0.242 0.094 1
Si3 Si 0.250 0.758 0.906 1
Si4 Si 0.750 0.268 0.752 1
Si5 Si 0.750 0.765 0.572 1
Si6 Si 0.250 0.235 0.428 1
Y1 Y 0.250 0.335 0.921 1
Y2 Y 0.250 0.486 0.631 1
Y3 Y 0.750 0.514 0.369 1
Y4 Y 0.250 0.986 0.696 1
Y5 Y 0.750 0.665 0.079 1
Y6 Y 0.750 0.014 0.304 1
# - formation energy from raw total energies (kJ per mole of atoms) = -58.1
# - energy above the lowest structure with this stoichiometry (meV/atom) = 11
# - Fermi-level density of states (states/eV/atom) = 0.12
# - crystal system = monoclinic
# - E (eV/atom) = -5.202